No. 1
KNa2Ag | PBE | relaxed

Properties
**ΔH_f (0 K)**: 0.039 eV/atom
**Magnetization**: 0.0 μB/cell
**Energy relative to the lowest polymorph listed for this composition**: 0.91 kcal/mol of atoms

a b c (Å): 5.338 5.338 6.788
angles (deg): 66.84 66.84 60.00
Fractional positions:
K 0.493 0.493 0.520
Na 0.027 0.027 0.918
Na 0.289 0.289 0.134
Ag 0.691 0.691 0.928

No. 2
K2Na2Ag | PBE | relaxed

Properties
**ΔH_f (0 K)**: 0.103 eV/atom
**Magnetization**: 0.0 μB/cell
**Energy relative to the lowest polymorph listed for this composition**: 1.16 kcal/mol of atoms

a b c (Å): 4.486 4.486 11.515
angles (deg): 78.77 78.77 90.00
Fractional positions:
Na 0.750 0.250 0.500
Na 0.250 0.750 0.500
K 0.413 0.413 0.173
K 0.587 0.587 0.827
Ag 0.000 0.000 0.000